No. 1
The following is a PBE calculation of Tl3Re after structural relaxation, from Alexandria via LeMat-Bulk.

Calculated values
As for the density of states at the Fermi level: 3.24 states/eV per cell. The formation energy is 0.7055 eV/atom. The value obtained for the excess energy over the best structure of this formula in the dataset is 172 meV per atom.

Unit cell a=7.203 b=9.106 c=5.792 alpha=90.00 beta=90.00 gamma=90.00
Sites, in units of the cell vectors:
Tl  0.026  0.250  0.144
Tl  0.181  0.049  0.615
Tl  0.181  0.451  0.615
Tl  0.319  0.549  0.115
Tl  0.319  0.951  0.115
Tl  0.474  0.750  0.644
Tl  0.526  0.250  0.356
Tl  0.681  0.049  0.885
Tl  0.681  0.451  0.885
Tl  0.819  0.549  0.385
Tl  0.819  0.951  0.385
Tl  0.974  0.750  0.856
Re  0.144  0.750  0.404
Re  0.356  0.250  0.904
Re  0.644  0.750  0.096
Re  0.856  0.250  0.596

=====

No. 2
The following is a PBE calculation of Ba2PuMg3F12 after structural relaxation, from Alexandria via LeMat-Bulk.

Calculated values
As for the density of states at the Fermi level: 10.27 states/eV per cell. The formation energy from raw total energies is -3511 meV per atom.

Unit cell a=7.130 b=7.130 c=7.130 alpha=62.31 beta=62.31 gamma=62.31
Sites, in units of the cell vectors:
Ba  0.113  0.113  0.113
Ba  0.887  0.887  0.887
Pu  0.500  0.500  0.500
Mg  0.000  0.500  0.500
Mg  0.500  0.000  0.500
Mg  0.500  0.500  0.000
F  0.069  0.641  0.641
F  0.225  0.225  0.623
F  0.225  0.623  0.225
F  0.359  0.359  0.931
F  0.359  0.931  0.359
F  0.377  0.775  0.775
F  0.623  0.225  0.225
F  0.641  0.069  0.641
F  0.641  0.641  0.069
F  0.775  0.377  0.775
F  0.775  0.775  0.377
F  0.931  0.359  0.359

=====

No. 3
The following is a PBE calculation of AcPuTl2O8 after structural relaxation, from Alexandria via LeMat-Bulk.

Calculated values
As for the density of states at the Fermi level: 0.03 states/eV per cell. The formation energy from raw total energies is -1802 meV per atom.

Unit cell a=5.340 b=5.353 c=7.201 alpha=93.66 beta=93.51 gamma=91.48
Sites, in units of the cell vectors:
Ac  0.000  0.000  0.000
Pu  0.000  0.000  0.500
Tl  0.488  0.488  0.745
Tl  0.512  0.512  0.255
O  0.166  0.823  0.299
O  0.176  0.833  0.700
O  0.296  0.295  0.514
O  0.321  0.318  0.028
O  0.679  0.682  0.972
O  0.704  0.705  0.486
O  0.824  0.167  0.300
O  0.834  0.177  0.701